DFT (GGA+U) results for an optimized crystal structure of NdCr2OsO8.

Summary:
Total energy: -7.633 eV/atom
DOS(E_F): 4.8 states/eV/cell

CIF file:
```
data_NdCr2OsO8
_space_group_name_H-M_alt 'P 1 2/m 1'
_space_group_IT_number 10
_space_group_name_Hall '-P 2y'
_cell_length_a 4.750
_cell_length_b 6.495
_cell_length_c 4.755
_cell_angle_alpha 90.00
_cell_angle_beta 91.37
_cell_angle_gamma 90.00
loop_
_atom_site_label
_atom_site_type_symbol
_atom_site_fract_x
_atom_site_fract_y
_atom_site_fract_z
Nd1 Nd 0.000 0.000 0.000
Cr1 Cr 0.500 0.249 0.500
Os1 Os 0.000 0.500 0.000
O1 O 0.204 0.294 0.202
O2 O 0.285 0.500 0.714
O3 O 0.329 0.000 0.669
```